[1]
Material: BaGaGe2
Method: DFT, PBE
State: optimized geometry

## Properties
For the final energy, the calculation gives -15.093 eV/cell. The calculation puts the formation energy at -88 kJ/mol of formula units.

Unit cell a=4.653 b=5.195 c=5.195 alpha=108.83 beta=90.00 gamma=90.00
Atoms (fractional coordinates):
1 Ge 0.500 0.507 0.899
2 Ga 0.500 0.587 0.413
3 Ge 0.500 0.101 0.493
4 Ba 0.000 0.020 0.980

---

[2]
Material: ReIrRh
Method: DFT, PBE
State: optimized geometry

## Properties
For the final energy, the calculation gives -28.534 eV/cell. The calculation puts the formation energy at 12 kJ/mol of formula units.

Unit cell a=4.344 b=4.344 c=2.710 alpha=90.00 beta=90.00 gamma=120.00
Atoms (fractional coordinates):
1 Re 0.667 0.333 0.500
2 Rh 0.333 0.667 0.500
3 Ir 0.000 0.000 0.000

---

[3]
Material: Ba2LiRh2
Method: DFT, PBE
State: optimized geometry

## Properties
For the final energy, the calculation gives -40.983 eV/cell. The calculation puts the formation energy at -3 kJ/mol of formula units.

Unit cell a=7.667 b=7.667 c=4.600 alpha=90.00 beta=90.00 gamma=90.00
Atoms (fractional coordinates):
1 Ba 0.677 0.823 0.500
2 Li 0.500 0.500 0.000
3 Rh 0.878 0.622 0.000
4 Ba 0.323 0.177 0.500
5 Rh 0.378 0.878 0.000
6 Rh 0.622 0.122 0.000
7 Ba 0.177 0.677 0.500
8 Li 0.000 0.000 0.000
9 Rh 0.122 0.378 0.000
10 Ba 0.823 0.323 0.500

---

[4]
Material: LiAcSi2
Method: DFT, PBE
State: optimized geometry

## Properties
For the final energy, the calculation gives -76.040 eV/cell. The uncorrected formation energy comes out at -0.5354 eV/atom.

Unit cell a=3.999 b=7.996 c=11.126 alpha=90.00 beta=90.00 gamma=90.00
Atoms (fractional coordinates):
1 Si 0.250 0.173 0.175
2 Si 0.750 0.327 0.675
3 Li 0.250 0.500 0.112
4 Si 0.750 0.783 0.424
5 Ac 0.250 0.138 0.867
6 Si 0.750 0.283 0.076
7 Si 0.250 0.673 0.325
8 Ac 0.250 0.638 0.633
9 Si 0.250 0.217 0.576
10 Si 0.750 0.827 0.825
11 Ac 0.750 0.362 0.367
12 Ac 0.750 0.862 0.133
13 Si 0.250 0.717 0.924
14 Li 0.750 0.500 0.888
15 Li 0.250 0.000 0.388
16 Li 0.750 0.000 0.612

---

[5]
Material: BaCdAu
Method: DFT, PBE
State: optimized geometry

## Properties
For the final energy, the calculation gives -15.527 eV/cell. The calculation puts the formation energy at -159 kJ/mol of formula units.

Unit cell a=4.760 b=6.308 c=7.033 alpha=74.52 beta=70.22 gamma=67.83
Atoms (fractional coordinates):
1 Au 0.351 0.609 0.690
2 Au 0.649 0.391 0.310
3 Ba 0.940 0.811 0.309
4 Ba 0.060 0.189 0.691
5 Cd 0.317 0.273 0.093
6 Cd 0.683 0.727 0.907

---

[6]
Material: LiCaSn
Method: DFT, PBE
State: optimized geometry

## Properties
For the final energy, the calculation gives -17.915 eV/cell. The calculation puts the formation energy at -100 kJ/mol of formula units.

Unit cell a=4.550 b=4.550 c=10.074 alpha=76.89 beta=76.89 gamma=59.88
Atoms (fractional coordinates):
1 Ca 0.721 0.721 0.336
2 Li 0.158 0.158 0.028
3 Sn 0.550 0.550 0.854
4 Ca 0.279 0.279 0.664
5 Li 0.842 0.842 0.972
6 Sn 0.450 0.450 0.146

---

[7]
Material: TbCd11In
Method: DFT, PBE
State: optimized geometry

## Properties
For the final energy, the calculation gives -18.122 eV/cell. The calculation puts the formation energy at -66 kJ/mol of formula units.

Unit cell a=5.999 b=7.667 c=7.703 alpha=81.34 beta=67.08 gamma=67.24
Atoms (fractional coordinates):
1 Cd 0.719 0.792 0.789
2 Cd 0.651 0.350 0.354
3 Cd 0.508 0.792 0.211
4 Cd 0.000 0.000 0.500
5 Cd 0.995 0.650 0.354
6 Cd 0.005 0.350 0.646
7 Cd 0.500 0.000 0.500
8 Cd 0.281 0.208 0.211
9 In 0.500 0.500 0.000
10 Cd 0.000 0.500 0.000
11 Cd 0.492 0.208 0.789
12 Cd 0.349 0.650 0.646
13 Tb 0.000 0.000 0.000

---

[8]
Material: PmGa4
Method: DFT, PBE
State: optimized geometry

## Properties
For the final energy, the calculation gives -38.214 eV/cell. The calculation puts the formation energy at -217 kJ/mol of formula units.

Unit cell a=4.558 b=6.417 c=7.870 alpha=114.06 beta=106.83 gamma=90.00
Atoms (fractional coordinates):
1 Ga 0.500 0.000 0.000
2 Ga 0.500 0.500 0.000
3 Ga 0.891 0.641 0.781
4 Pm 0.885 0.135 0.769
5 Ga 0.699 0.244 0.398
6 Pm 0.115 0.865 0.231
7 Ga 0.301 0.756 0.602
8 Ga 0.699 0.655 0.398
9 Ga 0.301 0.345 0.602
10 Ga 0.109 0.359 0.219